The following is a DFT calculation (PBEsol) of RuRhBr after structural relaxation.

It has space group I4mm (No. 107), with a = 2.917 Å, b = 2.917 Å, c = 11.092 Å, α = 90.00°, β = 90.00° and γ = 90.00°. The distinct sites, in fractional coordinates, are Ru at (0.000, 0.000, 0.000), Rh at (0.000, 0.000, 0.360) and Br at (0.000, 0.000, 0.667).

The uncorrected formation energy comes out at 0.65 eV per atom. The crystal system is tetragonal. Its energy is -36.4 eV for the cell shown. For the total magnetization, the calculation gives 0.0011 μB per atom.


The following is a DFT calculation (PBEsol) of MgZn2Hg after structural relaxation.

It has space group Pmmm (No. 47), with a = 3.094 Å, b = 4.587 Å, c = 5.154 Å, α = 90.00°, β = 90.00° and γ = 90.00°. The distinct sites, in fractional coordinates, are Mg at (0.000, 0.000, 0.000), Zn at (0.500, 0.500, 0.238) and Hg at (0.500, 0.000, 0.500).

The crystal system is orthorhombic. Its energy is -5.7 eV for the cell shown. The formation energy from the elements comes out at -0.057 eV/atom. For the total magnetization, the calculation gives 0.0000 μB per atom.


The following is a DFT calculation (PBEsol) of ScCuP2 after structural relaxation.

It has space group F-43m (No. 216), with a = 6.194 Å, b = 6.194 Å, c = 6.194 Å, α = 90.00°, β = 90.00° and γ = 90.00°. The distinct sites, in fractional coordinates, are Sc at (0.000, 0.000, 0.000), Cu at (0.250, 0.250, 0.250), P at (0.000, 0.000, 0.500) and P at (0.250, 0.250, 0.750).

The crystal system is cubic. Its energy is -92.1 eV for the cell shown. The formation energy from the elements comes out at -0.128 eV/atom. For the total magnetization, the calculation gives 0.0000 μB per atom.


The following is a DFT calculation (PBEsol) of SbP3Ir after structural relaxation.

It has space group Pm-3m (No. 221), with a = 4.610 Å, b = 4.610 Å, c = 4.610 Å, α = 90.00°, β = 90.00° and γ = 90.00°. The distinct sites, in fractional coordinates, are Sb at (0.000, 0.000, 0.000), P at (0.000, 0.500, 0.500) and Ir at (0.500, 0.500, 0.500).

The uncorrected formation energy comes out at 0.59 eV per atom. The crystal system is cubic. Its energy is -28.8 eV for the cell shown. For the total magnetization, the calculation gives 0.0002 μB per atom.